Entry 1:
## Cu2PbCl (PBE-GGA)

Data for Cu2PbCl after structural relaxation.

abc: 4.987 4.085 4.085
angles: 90.00 90.00 90.00
Fractional coordinates of all 4 atoms:
Cu (0.000, 0.000, 0.000)
Cu (0.000, 0.500, 0.500)
Cl (0.500, 0.000, 0.500)
Pb (0.500, 0.500, 0.000)

Results
Relative energy among the computed polymorphs   408 meV per atom
Raw total energy   -3.1057 eV per atom
Total magnetic moment   0.000 μB/atom
Space group   P4/mmm



Entry 2:
## CuPb2Cl (PBE-GGA)

Data for CuPb2Cl after structural relaxation.

abc: 5.535 3.450 5.432
angles: 78.88 90.00 90.00
Fractional coordinates of all 4 atoms:
Cl (0.000, 0.494, 0.396)
Pb (0.500, 0.227, 0.340)
Pb (0.000, 0.875, 0.877)
Cu (0.500, 0.903, 0.887)

Results
Relative energy among the computed polymorphs   81 meV per atom
Raw total energy   -3.4259 eV per atom
Total magnetic moment   0.000 μB/atom
Space group   Pm



Entry 3:
## CuPb2Cl (PBE-GGA)

Data for CuPb2Cl after structural relaxation.

abc: 3.508 7.608 5.784
angles: 40.58 90.00 90.00
Fractional coordinates of all 4 atoms:
Pb (0.500, 0.500, 0.000)
Pb (0.000, 0.000, 0.000)
Cu (0.000, 0.000, 0.500)
Cl (0.500, 0.500, 0.500)

Results
Relative energy among the computed polymorphs   87 meV per atom
Raw total energy   -3.4201 eV per atom
Total magnetic moment   0.000 μB/atom
Space group   P2/m



Entry 4:
## Cu3PbCl (PBE-GGA)

Data for Cu3PbCl after structural relaxation.

abc: 5.043 5.043 5.043
angles: 90.00 90.00 90.00
Fractional coordinates of all 5 atoms:
Cu (0.000, 0.000, 0.500)
Cu (0.500, 0.000, 0.000)
Cu (0.000, 0.500, 0.000)
Pb (0.000, 0.000, 0.000)
Cl (0.500, 0.500, 0.500)

Results
Relative energy among the computed polymorphs   219 meV per atom
Raw total energy   -2.7361 eV per atom
Total magnetic moment   0.000 μB/atom
Space group   Pm-3m



Entry 5:
## CuPb2Cl5 (PBE-GGA)

Data for CuPb2Cl5 after structural relaxation.

abc: 8.810 9.002 11.910
angles: 90.00 96.61 90.00
Last column: magnetic moment on the atom in μB.
Fractional coordinates of all 32 atoms:
Cl (0.728, 0.422, 0.721)  0.00
Cl (0.844, 0.065, 0.612)  0.01
Cl (0.415, 0.886, 0.106)  0.00
Cl (0.272, 0.578, 0.279)  0.00
Cl (0.536, 0.642, 0.899)  0.00
Cl (0.915, 0.614, 0.106)  0.00
Cl (0.156, 0.935, 0.388)  0.01
Cl (0.036, 0.858, 0.899)  0.00
Cl (0.585, 0.114, 0.894)  0.00
Cl (0.656, 0.565, 0.388)  0.01
Cl (0.008, 0.674, 0.607)  0.01
Cl (0.228, 0.078, 0.721)  0.00
Cl (0.508, 0.826, 0.607)  0.01
Cl (0.344, 0.435, 0.612)  0.01
Cl (0.492, 0.174, 0.393)  0.01
Cl (0.964, 0.142, 0.101)  0.00
Cl (0.772, 0.922, 0.279)  0.00
Cl (0.085, 0.386, 0.894)  0.00
Cl (0.992, 0.326, 0.393)  0.01
Cl (0.464, 0.358, 0.101)  0.00
Pb (0.257, 0.610, 0.044)  0.00
Pb (0.743, 0.390, 0.956)  0.00
Pb (0.468, 0.841, 0.367)  0.00
Pb (0.757, 0.890, 0.044)  0.00
Pb (0.968, 0.659, 0.367)  0.00
Pb (0.243, 0.110, 0.956)  0.00
Pb (0.032, 0.341, 0.633)  0.00
Pb (0.532, 0.159, 0.633)  0.00
Cu (0.017, 0.114, 0.293)  0.08
Cu (0.517, 0.386, 0.293)  0.08
Cu (0.983, 0.886, 0.707)  0.08
Cu (0.483, 0.614, 0.707)  0.08

Results
Relative energy among the computed polymorphs   0 meV per atom
Raw total energy   -3.5339 eV per atom
Total magnetic moment   0.012 μB/atom
Space group   P2_1/c



Entry 6:
## Cu2PbCl (PBE-GGA)

Data for Cu2PbCl after structural relaxation.

abc: 4.704 5.905 3.362
angles: 73.48 89.95 113.46
Fractional coordinates of all 4 atoms:
Cu (0.500, 0.000, 0.500)
Cu (0.000, 0.000, 0.000)
Pb (0.000, 0.500, 0.500)
Cl (0.500, 0.500, 0.000)

Results
Relative energy among the computed polymorphs   326 meV per atom
Raw total energy   -3.1877 eV per atom
Total magnetic moment   0.000 μB/atom
Space group   C2/m



Entry 7:
## Cu3PbCl (PBE-GGA)

Data for Cu3PbCl after structural relaxation.

abc: 4.607 4.607 4.607
angles: 90.00 90.00 90.00
Fractional coordinates of all 5 atoms:
Cu (0.000, 0.000, 0.500)
Cu (0.000, 0.500, 0.000)
Cu (0.500, 0.000, 0.000)
Pb (0.500, 0.500, 0.500)
Cl (0.000, 0.000, 0.000)

Results
Relative energy among the computed polymorphs   0 meV per atom
Raw total energy   -2.9550 eV per atom
Total magnetic moment   0.000 μB/atom
Space group   Pm-3m



Entry 8:
## Cu2PdPbCl8 (PBE-GGA)

Data for Cu2PdPbCl8 after structural relaxation.

abc: 6.752 6.549 7.285
angles: 89.80 89.86 96.54
Last column: magnetic moment on the atom in μB.
Fractional coordinates of all 12 atoms:
Cl (0.173, 0.809, 0.791)  0.01
Cl (0.658, 0.677, 0.500)  0.08
Cl (0.827, 0.191, 0.209)  0.01
Cl (0.666, 0.679, 0.000)  0.08
Cl (0.167, 0.803, 0.209)  0.01
Cl (0.342, 0.323, 0.500)  0.08
Cl (0.334, 0.321, 0.000)  0.08
Cl (0.833, 0.197, 0.791)  0.01
Cu (0.500, 0.500, 0.759)  0.27
Cu (0.500, 0.500, 0.241)  0.27
Pb (0.000, 0.000, 0.500)  0.01
Pd (0.000, 0.000, 0.000)  -0.03

Results
Raw total energy   -3.2377 eV per atom
Total magnetic moment   0.080 μB/atom
Space group   P-1



Entry 9:
## Rb3CuPb2Cl9 (PBE-GGA)

Data for Rb3CuPb2Cl9 after structural relaxation.

abc: 7.613 7.613 9.378
angles: 90.00 90.00 120.00
Fractional coordinates of all 15 atoms:
Pb (0.667, 0.333, 0.810)
Pb (0.333, 0.667, 0.190)
Rb (0.667, 0.333, 0.337)
Rb (0.333, 0.667, 0.663)
Rb (0.000, 0.000, 0.000)
Cl (0.153, 0.847, 0.349)
Cl (0.847, 0.693, 0.651)
Cl (0.153, 0.307, 0.349)
Cl (0.500, 0.500, 0.000)
Cl (0.307, 0.153, 0.651)
Cl (0.693, 0.847, 0.349)
Cl (0.000, 0.500, 0.000)
Cl (0.500, 0.000, 0.000)
Cl (0.847, 0.153, 0.651)
Cu (0.000, 0.000, 0.500)

Results
Raw total energy   -3.3971 eV per atom
Total magnetic moment   0.000 μB/atom
Space group   P-3m1



Entry 10:
## RbCuPb2Cl8 (PBE-GGA)

Data for RbCuPb2Cl8 after structural relaxation.

abc: 6.843 6.588 8.775
angles: 90.01 90.01 81.53
Fractional coordinates of all 12 atoms:
Cl (0.650, 0.722, 0.000)
Cl (0.147, 0.790, 0.817)
Cl (0.853, 0.210, 0.817)
Cl (0.657, 0.688, 0.500)
Cl (0.350, 0.278, 0.000)
Cl (0.147, 0.790, 0.183)
Cl (0.853, 0.210, 0.183)
Cl (0.343, 0.312, 0.500)
Rb (0.000, 0.000, 0.500)
Cu (0.000, 0.000, 0.000)
Pb (0.500, 0.500, 0.768)
Pb (0.500, 0.500, 0.232)

Results
Raw total energy   -3.2462 eV per atom
Total magnetic moment   0.003 μB/atom
Space group   P2/m



Entry 11:
## RbCuPbCl4 (PBE-GGA)

Data for RbCuPbCl4 after structural relaxation.

abc: 6.537 7.163 9.147
angles: 90.00 109.98 90.00
Last column: magnetic moment on the atom in μB.
Fractional coordinates of all 14 atoms:
Cu (0.223, 0.750, 0.320)  0.12
Cu (0.777, 0.250, 0.680)  0.12
Pb (0.224, 0.250, 0.550)  0.00
Pb (0.776, 0.750, 0.450)  0.00
Rb (0.745, 0.750, 0.941)  0.00
Rb (0.255, 0.250, 0.059)  0.00
Cl (0.985, 0.494, 0.281)  0.01
Cl (0.436, 0.750, 0.582)  0.01
Cl (0.015, 0.506, 0.719)  0.01
Cl (0.015, 0.994, 0.719)  0.01
Cl (0.564, 0.250, 0.418)  0.01
Cl (0.985, 0.006, 0.281)  0.01
Cl (0.593, 0.250, 0.854)  0.00
Cl (0.407, 0.750, 0.146)  0.00

Results
Raw total energy   -3.4820 eV per atom
Total magnetic moment   0.020 μB/atom
Space group   P2_1/m



Entry 12:
## Rb2CuPbCl5 (PBE-GGA)

Data for Rb2CuPbCl5 after structural relaxation.

abc: 4.211 9.813 13.790
angles: 90.00 90.00 102.39
Fractional coordinates of all 18 atoms:
Rb (0.127, 0.254, 0.325)
Rb (0.873, 0.746, 0.825)
Rb (0.114, 0.227, 0.692)
Rb (0.886, 0.773, 0.192)
Cl (0.499, 0.999, 0.290)
Cl (0.657, 0.315, 0.510)
Cl (0.703, 0.406, 0.159)
Cl (0.697, 0.393, 0.865)
Cl (0.343, 0.685, 0.010)
Cl (0.966, 0.932, 0.520)
Cl (0.303, 0.607, 0.365)
Cl (0.501, 0.001, 0.790)
Cl (0.297, 0.594, 0.659)
Cl (0.034, 0.068, 0.020)
Pb (0.198, 0.395, 0.013)
Pb (0.802, 0.605, 0.513)
Cu (0.475, 0.950, 0.450)
Cu (0.525, 0.050, 0.950)

Results
Raw total energy   -3.4649 eV per atom
Total magnetic moment   0.000 μB/atom
Space group   Cmc2_1